Below is Ag3BiBr after structural relaxation, with properties calculated at the PBE level.

Cell lengths 5.215, 5.215, 5.215 Å; angles 90.00, 90.00, 90.00 degrees
Element x y z (fractional)
Br 0.000 0.000 0.000
Bi 0.500 0.500 0.500
Ag 0.000 0.500 0.000
Ag 0.000 0.000 0.500
Ag 0.500 0.000 0.000

Values from the calculation:
symmetry = Pm-3m (221)
total magnetization = 0.0 μB per formula unit
offset from the most stable computed form = 61 kJ/mol of formula units

Below is AgBi2Br after structural relaxation, with properties calculated at the PBE level.

Cell lengths 5.315, 5.315, 5.315 Å; angles 60.00, 60.00, 60.00 degrees
Element x y z (fractional)
Br 0.000 0.000 0.000
Bi 0.250 0.250 0.250
Bi 0.750 0.750 0.750
Ag 0.500 0.500 0.500

Values from the calculation:
symmetry = Fm-3m (225)
total magnetization = 0.0 μB per formula unit
offset from the most stable computed form = 32 kJ/mol of formula units

Below is Ag2BiBr after structural relaxation, with properties calculated at the PBE level.

Cell lengths 5.202, 5.202, 5.202 Å; angles 60.00, 60.00, 60.00 degrees
Each line ends with the local moment (μB).
Element x y z (fractional)
Br 0.000 0.000 0.000  0.31
Bi 0.500 0.500 0.500  0.67
Ag 0.250 0.250 0.250  0.13
Ag 0.750 0.750 0.750  0.13

Values from the calculation:
symmetry = Fm-3m (225)
total magnetization = 1.7 μB per formula unit
offset from the most stable computed form = 99 kJ/mol of formula units

Below is AgBiBr2 after structural relaxation, with properties calculated at the PBE level.

Cell lengths 5.314, 5.314, 5.314 Å; angles 60.00, 60.00, 60.00 degrees
Element x y z (fractional)
Br 0.250 0.250 0.250
Br 0.750 0.750 0.750
Bi 0.500 0.500 0.500
Ag 0.000 0.000 0.000

Values from the calculation:
symmetry = Fm-3m (225)
total magnetization = 0.0 μB per formula unit
offset from the most stable computed form = 143 kJ/mol of formula units

Below is AgBi2Br2 after structural relaxation, with properties calculated at the PBE level.

Cell lengths 7.601, 7.601, 5.706 Å; angles 90.00, 90.00, 90.00 degrees
Element x y z (fractional)
Br 0.307 0.807 0.500
Br 0.807 0.693 0.500
Br 0.693 0.193 0.500
Br 0.193 0.307 0.500
Bi 0.353 0.853 0.000
Bi 0.853 0.647 0.000
Bi 0.647 0.147 0.000
Bi 0.147 0.353 0.000
Ag 0.000 0.000 0.000
Ag 0.500 0.500 0.000

Values from the calculation:
symmetry = P4/mbm (127)
total magnetization = 0.0 μB per formula unit

Below is AgBi2Br after structural relaxation, with properties calculated at the PBE level.

Cell lengths 4.639, 4.639, 11.814 Å; angles 78.68, 78.68, 90.00 degrees
Element x y z (fractional)
Br 0.500 0.500 0.000
Br 0.250 0.750 0.500
Bi 0.662 0.125 0.250
Bi 0.088 0.625 0.250
Bi 0.375 0.338 0.750
Bi 0.875 0.912 0.750
Ag 0.000 0.000 0.000
Ag 0.750 0.250 0.500

Values from the calculation:
symmetry = I-42d (122)
total magnetization = 0.0 μB per formula unit
offset from the most stable computed form = 0 kJ/mol of formula units

Below is Ag3BiBr after structural relaxation, with properties calculated at the PBE level.

Cell lengths 5.449, 5.449, 5.449 Å; angles 90.00, 90.00, 90.00 degrees
Element x y z (fractional)
Br 0.500 0.500 0.500
Bi 0.000 0.000 0.000
Ag 0.000 0.500 0.000
Ag 0.000 0.000 0.500
Ag 0.500 0.000 0.000

Values from the calculation:
symmetry = Pm-3m (221)
total magnetization = 0.0 μB per formula unit
offset from the most stable computed form = 0 kJ/mol of formula units

Below is AgBiBr2 after structural relaxation, with properties calculated at the PBE level.

Cell lengths 9.540, 9.540, 9.540 Å; angles 23.37, 23.37, 23.37 degrees
Element x y z (fractional)
Br 0.897 0.897 0.897
Br 0.103 0.103 0.103
Bi 0.000 0.000 0.000
Ag 0.500 0.500 0.500

Values from the calculation:
symmetry = R-3m (166)
total magnetization = 0.0 μB per formula unit
offset from the most stable computed form = 0 kJ/mol of formula units

Below is AgBiBr4 after structural relaxation, with properties calculated at the PBE level.

Cell lengths 4.185, 7.382, 7.533 Å; angles 110.16, 90.00, 90.00 degrees
Element x y z (fractional)
Ag 0.000 0.500 0.500
Bi 0.500 0.500 0.000
Br 0.000 0.248 0.774
Br 0.000 0.752 0.226
Br 0.500 0.292 0.260
Br 0.500 0.708 0.740

Values from the calculation:
symmetry = P2/m (10)
total magnetization = 0.0 μB per formula unit

Below is AgBiBr6 after structural relaxation, with properties calculated at the PBE level.

Cell lengths 9.217, 9.996, 7.293 Å; angles 54.80, 55.27, 35.54 degrees
Element x y z (fractional)
Ag 0.000 0.000 0.000
Bi 0.500 0.500 0.500
Br 0.108 0.537 0.673
Br 0.740 0.066 0.870
Br 0.595 0.246 0.297
Br 0.260 0.934 0.130
Br 0.892 0.463 0.327
Br 0.405 0.754 0.703

Values from the calculation:
symmetry = P-1 (2)
total magnetization = 0.0 μB per formula unit

Below is Ag2BiBr8 after structural relaxation, with properties calculated at the PBE level.

Cell lengths 5.458, 8.829, 8.829 Å; angles 120.00, 90.00, 90.00 degrees
Element x y z (fractional)
Ag 0.694 0.667 0.333
Ag 0.306 0.333 0.667
Bi 0.500 0.000 0.000
Br 0.789 0.333 0.667
Br 0.211 0.667 0.333
Br 0.226 0.161 0.321
Br 0.774 0.839 0.679
Br 0.774 0.321 0.161
Br 0.226 0.679 0.839
Br 0.226 0.161 0.839
Br 0.774 0.839 0.161

Values from the calculation:
symmetry = P-3m1 (164)
total magnetization = 0.0 μB per formula unit

Below is AgBiBr3 after structural relaxation, with properties calculated at the PBE level.

Cell lengths 6.709, 8.009, 13.191 Å; angles 90.00, 92.50, 90.00 degrees
Element x y z (fractional)
Ag 0.299 0.661 0.095
Ag 0.201 0.161 0.405
Ag 0.701 0.339 0.905
Ag 0.799 0.839 0.595
Bi 0.937 0.609 0.200
Bi 0.563 0.109 0.300
Bi 0.063 0.391 0.800
Bi 0.437 0.891 0.700
Br 0.167 0.704 0.581
Br 0.333 0.204 0.919
Br 0.833 0.296 0.419
Br 0.667 0.796 0.081
Br 0.831 0.065 0.758
Br 0.669 0.565 0.742
Br 0.169 0.935 0.242
Br 0.331 0.435 0.258
Br 0.681 0.815 0.397
Br 0.819 0.315 0.103
Br 0.319 0.185 0.603
Br 0.181 0.685 0.897

Values from the calculation:
symmetry = P2_1/c (14)
total magnetization = 0.0 μB per formula unit
offset from the most stable computed form = 0 kJ/mol of formula units

Number 1: raw formation energy 0.5641 eV/atom. Number 2: raw formation energy 0.1649 eV/atom. Number 3: raw formation energy 0.3592 eV/atom. Number 4: raw formation energy 0.0936 eV/atom. Number 5: raw formation energy -0.1986 eV/atom. Number 6: raw formation energy 0.0832 eV/atom. Number 7: raw formation energy 0.4387 eV/atom. Number 8: raw formation energy -0.2765 eV/atom. Number 9: raw formation energy -0.5903 eV/atom. Number 10: raw formation energy -0.3417 eV/atom. Number 11: raw formation energy -0.1890 eV/atom. Number 12: raw formation energy -0.3940 eV/atom.